(1)
The following is a DFT calculation (PBE) of crystalline ZnInPb at its relaxed geometry.

Cell: 7.0013 6.9343 3.3934 Å, 77.01 74.81 28.18°
Positions (direct):
Zn (0.0000, 0.0000, 0.0000)
In (0.3594, 0.3594, 0.6406)
Pb (0.6595, 0.6595, 0.3405)

energy above the most stable polymorph in this dataset	29.0	meV/atom
energy relative to the elements	0.1044	eV/atom

---

(2)
The following is a DFT calculation (PBE) of crystalline Sr2ZnAs at its relaxed geometry.

Cell: 4.6528 4.6528 7.8585 Å, 107.30 107.30 60.11°
Positions (direct):
Sr (0.2375, 0.2375, 0.2120)
Sr (0.7625, 0.7625, 0.7880)
Zn (0.0000, 0.0000, 0.5000)
As (0.5000, 0.5000, 0.0000)

energy above the most stable polymorph in this dataset	111.1	meV/atom
energy relative to the elements	-0.5966	eV/atom

---

(3)
The following is a DFT calculation (PBE) of crystalline LaTlCdSn at its relaxed geometry.

Cell: 5.4198 5.4198 5.4198 Å, 60.00 60.00 60.00°
Positions (direct):
La (0.0000, 0.0000, 0.0000)
Tl (0.7500, 0.7500, 0.7500)
Cd (0.2500, 0.2500, 0.2500)
Sn (0.5000, 0.5000, 0.5000)

energy above the most stable polymorph in this dataset	174.2	meV/atom
energy relative to the elements	-0.2770	eV/atom

---

(4)
The following is a DFT calculation (PBE) of crystalline Tb2Pm2SmHo at its relaxed geometry.

Cell: 6.6386 17.9624 3.3960 Å, 90.00 90.00 90.00°
Positions (direct):
Tb (0.2301, 0.1470, 0.0000)
Tb (0.2699, 0.6470, 0.5000)
Tb (0.7301, 0.3530, 0.5000)
Tb (0.7699, 0.8530, 0.0000)
Pm (0.2321, 0.3159, 0.5000)
Pm (0.2679, 0.8159, 0.0000)
Pm (0.7321, 0.1841, 0.0000)
Pm (0.7679, 0.6841, 0.5000)
Sm (0.0000, 0.0000, 0.5000)
Sm (0.5000, 0.5000, 0.0000)
Ho (0.0000, 0.5000, 0.5000)
Ho (0.5000, 0.0000, 0.0000)

energy relative to the elements	0.2616	eV/atom

---

(5)
The following is a DFT calculation (PBE) of crystalline SrLa2Pb at its relaxed geometry.

Cell: 3.7815 6.0592 6.3222 Å, 90.00 96.95 90.00°
Positions (direct):
Sr (0.0000, 0.0000, 0.0000)
La (0.3026, 0.5000, 0.7162)
La (0.6974, 0.5000, 0.2838)
Pb (0.5000, 0.0000, 0.5000)

energy relative to the elements	-0.2039	eV/atom

---

(6)
The following is a DFT calculation (PBE) of crystalline CsRbCd2In at its relaxed geometry.

Cell: 6.8266 6.8266 6.8495 Å, 90.00 90.00 90.00°
Positions (direct):
Cs (0.0000, 0.0000, 0.0000)
Rb (0.5000, 0.5000, 0.5000)
Cd (0.0000, 0.5000, 0.0000)
Cd (0.5000, 0.0000, 0.0000)
In (0.0000, 0.0000, 0.5000)

energy above the most stable polymorph in this dataset	387.4	meV/atom
energy relative to the elements	0.4575	eV/atom

---

(7)
The following is a DFT calculation (PBE) of crystalline LaHo7Sc2 at its relaxed geometry.

Cell: 9.3072 9.3072 9.3072 Å, 146.75 136.21 56.08°
Positions (direct):
La (0.0000, 0.0000, 0.0000)
Ho (0.1408, 0.3868, 0.7540)
Ho (0.2035, 0.2035, 0.0000)
Ho (0.3672, 0.6132, 0.7540)
Ho (0.5000, 0.0000, 0.5000)
Ho (0.6328, 0.3868, 0.2460)
Ho (0.7965, 0.7965, 0.0000)
Ho (0.8592, 0.6132, 0.2460)
Sc (0.3008, 0.8008, 0.5000)
Sc (0.6992, 0.1992, 0.5000)

energy above the most stable polymorph in this dataset	0.0	meV/atom
energy relative to the elements	0.0431	eV/atom

---

(8)
The following is a DFT calculation (PBE) of crystalline Na2Mg2In3 at its relaxed geometry.

Cell: 10.8360 10.8360 9.4384 Å, 90.00 90.00 160.14°
Positions (direct):
Na (0.0671, 0.9329, 0.7500)
Na (0.1527, 0.8473, 0.2500)
Na (0.8473, 0.1527, 0.7500)
Na (0.9329, 0.0671, 0.2500)
Mg (0.3122, 0.6878, 0.0256)
Mg (0.3122, 0.6878, 0.4744)
Mg (0.6878, 0.3122, 0.5256)
Mg (0.6878, 0.3122, 0.9744)
In (0.2277, 0.7723, 0.7500)
In (0.4448, 0.5552, 0.5867)
In (0.4448, 0.5552, 0.9133)
In (0.5552, 0.4448, 0.0867)
In (0.5552, 0.4448, 0.4133)
In (0.7723, 0.2277, 0.2500)

energy relative to the elements	-0.0473	eV/atom

---

(9)
The following is a DFT calculation (PBE) of crystalline AsSe2 at its relaxed geometry.

Cell: 5.1900 5.1900 2.7526 Å, 90.00 90.00 120.00°
Positions (direct):
As (0.0000, 0.0000, 0.0000)
Se (0.3333, 0.6667, 0.0000)
Se (0.6667, 0.3333, 0.0000)

formation energy without anion corrections	0.332	eV/atom

---

(10)
The following is a DFT calculation (PBE) of crystalline TbHo2TcO8 at its relaxed geometry.

Cell: 5.0353 5.0353 6.7282 Å, 90.00 90.00 90.47°
Positions (direct):
Tb (0.0000, 0.0000, 0.0000)
Ho (0.5000, 0.5000, 0.2485)
Ho (0.5000, 0.5000, 0.7515)
Tc (0.0000, 0.0000, 0.5000)
O (0.1828, 0.8172, 0.2928)
O (0.1828, 0.8172, 0.7072)
O (0.2688, 0.2688, 0.5000)
O (0.3089, 0.3089, 0.0000)
O (0.6911, 0.6911, 0.0000)
O (0.7312, 0.7312, 0.5000)
O (0.8172, 0.1828, 0.2928)
O (0.8172, 0.1828, 0.7072)

formation energy without anion corrections	-2.644	eV/atom

---

(11)
The following is a DFT calculation (PBE) of crystalline BaTc2Ir at its relaxed geometry.

Cell: 6.4920 6.4920 6.4920 Å, 39.51 39.51 39.51°
Positions (direct):
Ba (0.0000, 0.0000, 0.0000)
Tc (0.1893, 0.1893, 0.1893)
Tc (0.4980, 0.4980, 0.4980)
Ir (0.8111, 0.8111, 0.8111)

energy above the most stable polymorph in this dataset	0.0	meV/atom
energy relative to the elements	0.3187	eV/atom

---

(12)
The following is a DFT calculation (PBE) of crystalline Rb3NiOs at its relaxed geometry.

Cell: 6.4247 6.4247 6.4247 Å, 90.00 90.00 90.00°
Positions (direct):
Rb (0.0000, 0.0000, 0.5000)
Rb (0.0000, 0.5000, 0.0000)
Rb (0.5000, 0.0000, 0.0000)
Ni (0.5000, 0.5000, 0.5000)
Os (0.0000, 0.0000, 0.0000)

energy above the most stable polymorph in this dataset	0.0	meV/atom
energy relative to the elements	1.6294	eV/atom

---

(13)
The following is a DFT calculation (PBE) of crystalline YPbBr at its relaxed geometry.

Cell: 7.8844 7.8844 7.8844 Å, 154.05 154.05 37.03°
Positions (direct):
Y (0.0000, 0.0000, 0.0000)
Pb (0.6599, 0.6599, 0.0000)
Br (0.3901, 0.3901, 0.0000)

energy above the most stable polymorph in this dataset	133.8	meV/atom
formation energy without anion corrections	-0.773	eV/atom

---

(14)
The following is a DFT calculation (PBE) of crystalline Cr2SbOs at its relaxed geometry.

Cell: 4.8018 4.8018 4.8018 Å, 132.14 132.14 70.00°
Positions (direct):
Cr (0.0000, 0.0000, 0.0000)
Cr (0.7500, 0.2500, 0.5000)
Sb (0.5000, 0.5000, 0.0000)
Os (0.2500, 0.7500, 0.5000)

formation energy without anion corrections	0.362	eV/atom

---

(15)
The following is a DFT calculation (PBE) of crystalline Na3Sc2PaSe6 at its relaxed geometry.

Cell: 6.9287 6.9287 7.4114 Å, 98.98 98.98 120.01°
Positions (direct):
Na (0.0000, 0.0000, 0.0000)
Na (0.3348, 0.6652, 0.0000)
Na (0.6652, 0.3348, 0.0000)
Sc (0.1669, 0.8331, 0.5000)
Sc (0.8331, 0.1669, 0.5000)
Pa (0.5000, 0.5000, 0.5000)
Se (0.0822, 0.4248, 0.2746)
Se (0.2324, 0.2324, 0.7253)
Se (0.4248, 0.0822, 0.2746)
Se (0.5752, 0.9178, 0.7254)
Se (0.7676, 0.7676, 0.2747)
Se (0.9178, 0.5752, 0.7254)

formation energy without anion corrections	-1.467	eV/atom

---

(16)
The following is a DFT calculation (PBE) of crystalline KCaGaPt2 at its relaxed geometry.

Cell: 5.2480 5.2480 5.0704 Å, 90.00 90.00 90.00°
Positions (direct):
K (0.0000, 0.0000, 0.0000)
Ca (0.0000, 0.0000, 0.5000)
Ga (0.5000, 0.5000, 0.5000)
Pt (0.0000, 0.5000, 0.0000)
Pt (0.5000, 0.0000, 0.0000)

energy relative to the elements	1.1485	eV/atom

---

(17)
The following is a DFT calculation (PBE) of crystalline VIn at its relaxed geometry.

Cell: 7.1588 7.1588 7.1588 Å, 109.47 109.47 109.47°
Positions (direct):
V (0.0000, 0.0000, 0.7981)
V (0.0000, 0.7981, 0.0000)
V (0.2019, 0.2019, 0.2019)
V (0.7981, 0.0000, 0.0000)
In (0.0000, 0.0000, 0.4162)
In (0.0000, 0.4162, 0.0000)
In (0.4162, 0.0000, 0.0000)
In (0.5838, 0.5838, 0.5838)

energy relative to the elements	1.0001	eV/atom

---

(18)
The following is a DFT calculation (PBE) of crystalline TaMnNi5 at its relaxed geometry.

Cell: 3.6422 3.6422 6.8957 Å, 90.00 90.00 90.00°
Positions (direct):
Ta (0.0000, 0.0000, 0.0000)
Mn (0.5000, 0.5000, 0.5000)
Ni (0.0000, 0.5000, 0.2638)
Ni (0.0000, 0.5000, 0.7362)
Ni (0.5000, 0.0000, 0.2638)
Ni (0.5000, 0.0000, 0.7362)
Ni (0.5000, 0.5000, 0.0000)

energy relative to the elements	-0.0338	eV/atom

---

(19)
The following is a DFT calculation (PBE) of crystalline AlSiBr2 at its relaxed geometry.

Cell: 8.3884 8.3884 8.3884 Å, 155.36 152.66 37.13°
Positions (direct):
Al (0.0000, 0.0000, 0.0000)
Si (0.5000, 0.5000, 0.0000)
Br (0.3587, 0.8587, 0.5000)
Br (0.6413, 0.1413, 0.5000)

energy above the most stable polymorph in this dataset	319.3	meV/atom
formation energy without anion corrections	-0.017	eV/atom

---

(20)
The following is a DFT calculation (PBE) of crystalline OsRhSe2N at its relaxed geometry.

Cell: 4.9903 4.9903 3.5404 Å, 90.00 90.00 90.00°
Positions (direct):
Os (0.0000, 0.0000, 0.0000)
Rh (0.5000, 0.5000, 0.5000)
Se (0.0000, 0.5000, 0.5000)
Se (0.5000, 0.0000, 0.5000)
N (0.5000, 0.5000, 0.0000)

energy above the most stable polymorph in this dataset	485.3	meV/atom
formation energy without anion corrections	1.199	eV/atom